(1)
First-principles (PBE) data for MgHPt after structural relaxation, as listed in Alexandria via LeMat-Bulk.

It has space group P-6m2 (No. 187), with a = 3.3744 Å, b = 3.3744 Å, c = 3.8665 Å, α = 90.00°, β = 90.00° and γ = 120.00°. The distinct sites, in fractional coordinates, are Mg at (0.0000, 0.0000, 0.0000), H at (0.6667, 0.3333, 0.5000) and Pt at (0.3333, 0.6667, 0.5000).

The density of states at the Fermi level comes out at 0.8 states/eV/cell. Its mass density is 9.599 g/cm3. The value obtained for the electronic total energy is -3.996 eV/atom. The spin magnetization is 0.00 Bohr magnetons per cell.

***

(2)
First-principles (PBE) data for Mg3HPt2 after structural relaxation, as listed in Alexandria via LeMat-Bulk.

It has space group Cmmm (No. 65), with a = 4.575 Å, b = 13.341 Å, c = 2.965 Å, α = 90.00°, β = 90.00° and γ = 90.00°. The distinct sites, in fractional coordinates, are Mg at (0.000, 0.000, 0.000), Mg at (0.000, 0.352, 0.000), H at (0.000, 0.500, 0.000) and Pt at (0.000, 0.175, 0.500).

The density of states at the Fermi level comes out at 3.2 states/eV/cell. Its mass density is 8.516 g/cm3. The value obtained for the electronic total energy is -3.978 eV/atom. The spin magnetization is 0.00 Bohr magnetons per cell.

***

(3)
First-principles (PBE) data for MgH6Pt4 after structural relaxation, as listed in Alexandria via LeMat-Bulk.

It has space group P1 (No. 1), with a = 4.791 Å, b = 5.126 Å, c = 5.177 Å, α = 84.95°, β = 89.94° and γ = 65.34°. The distinct sites, in fractional coordinates, are Mg at (0.000, 0.000, 0.000), H at (0.030, 0.431, 0.705), H at (0.216, 0.007, 0.516), H at (0.345, 0.186, 0.056), H at (0.503, 0.447, 0.724), H at (0.606, 0.715, 0.999), H at (0.741, 0.988, 0.550), Pt at (0.142, 0.688, 0.550), Pt at (0.456, 0.462, 0.067), Pt at (0.570, 0.892, 0.279) and Pt at (0.834, 0.306, 0.507).

The density of states at the Fermi level comes out at 2.1 states/eV/cell. Its mass density is 11.706 g/cm3. The value obtained for the electronic total energy is -4.288 eV/atom. The spin magnetization is 0.00 Bohr magnetons per cell.

***

(4)
First-principles (PBE) data for Mg2H2Pt after structural relaxation, as listed in Alexandria via LeMat-Bulk.

It has space group I4/mmm (No. 139), with a = 3.137 Å, b = 3.137 Å, c = 11.637 Å, α = 90.00°, β = 90.00° and γ = 90.00°. The distinct sites, in fractional coordinates, are Mg at (0.000, 0.000, 0.148), H at (0.000, 0.500, 0.250) and Pt at (0.000, 0.000, 0.500).

The density of states at the Fermi level comes out at 1.2 states/eV/cell. Its mass density is 7.126 g/cm3. The value obtained for the electronic total energy is -3.532 eV/atom. The spin magnetization is 0.00 Bohr magnetons per cell.

***

(5)
First-principles (PBE) data for Mg3H12Pt5 after structural relaxation, as listed in Alexandria via LeMat-Bulk.

It has space group Ia-3d (No. 230), with a = 11.466 Å, b = 11.466 Å, c = 11.466 Å, α = 90.00°, β = 90.00° and γ = 90.00°. The distinct sites, in fractional coordinates, are Mg at (0.000, 0.250, 0.125), H at (0.028, 0.053, 0.646), Pt at (0.000, 0.000, 0.000) and Pt at (0.000, 0.250, 0.375).

The density of states at the Fermi level comes out at 65.4 states/eV/cell. Its mass density is 9.344 g/cm3. The value obtained for the electronic total energy is -3.832 eV/atom. The spin magnetization is 0.00 Bohr magnetons per cell.

***

(6)
First-principles (PBE) data for Mg2HPt6 after structural relaxation, as listed in Alexandria via LeMat-Bulk.

It has space group I4/mmm (No. 139), with a = 5.651 Å, b = 5.651 Å, c = 7.981 Å, α = 90.00°, β = 90.00° and γ = 90.00°. The distinct sites, in fractional coordinates, are Mg at (0.000, 0.500, 0.250), H at (0.000, 0.000, 0.000), Pt at (0.000, 0.000, 0.253) and Pt at (0.247, 0.247, 0.500).

The density of states at the Fermi level comes out at 14.6 states/eV/cell. Its mass density is 15.897 g/cm3. The value obtained for the electronic total energy is -5.271 eV/atom. The spin magnetization is 0.00 Bohr magnetons per cell.